Record 1
The following is a PBE calculation of a geometry-optimized Ta2MnBe9 structure, from the Alexandria database.

Lattice parameters (Å, degrees): 4.4988 4.4988 20.8327 90.00 90.00 120.00
Closest atoms and distances in Å follow each position.
Space group R-3m (No. 166, hexagonal axes)
Asymmetric unit:
1 Ta 0.0000 0.0000 0.1417 (multiplicity 6)  12 Be 2.58-2.65, 3 Ta 2.80
2 Mn 0.0000 0.0000 0.0000 (multiplicity 3)  18 Be 2.60-2.82
3 Be 0.0000 0.0000 0.3348 (multiplicity 6)  6 Be 2.12-2.15
4 Be 0.0000 0.0000 0.5000 (multiplicity 3)  6 Be 2.21
5 Be 0.0037 0.5018 0.9187 (multiplicity 18)  7 Be 2.12-2.27

Properties
Calculated total energy, eV/atom: -5.65
Crystal system: trigonal
Formation enthalpy at 0 K, eV/atom: -0.1194

***

Record 2
The following is a PBE calculation of a geometry-optimized Ag5I structure, from the Alexandria database.

Lattice parameters (Å, degrees): 4.2436 13.6302 4.3137 90.00 90.00 90.00
Closest atoms and distances in Å follow each position.
Space group Cmmm (No. 65)
Asymmetric unit:
1 Ag 0.0000 0.0000 0.0000 (multiplicity 2)  4 I 3.03, 8 Ag 3.23-3.24
2 Ag 0.0000 0.1765 0.5000 (multiplicity 4)  10 Ag 2.91-3.23, 2 I 3.21
3 Ag 0.0000 0.3201 0.0000 (multiplicity 4)  8 Ag 2.86-3.03
4 I 0.0000 0.5000 0.5000 (multiplicity 2)  12 Ag 3.03-3.27

Properties
Calculated total energy, eV/atom: -2.47
Formation energy from raw total energies, meV/atom: 161
Crystal system: orthorhombic